Below is a geometry-optimized ScInGa2H structure, with properties calculated at the PBE-GGA level.

Cell: 5.4042 3.4579 5.4042 Å, 90.00 90.00 90.00°
Fractional coordinates of all 5 atoms:
Ga: 0.0000 0.0000 0.5000
Ga: 0.5000 0.0000 0.0000
In: 0.0000 0.0000 0.0000
Sc: 0.5000 0.5000 0.5000
H: 0.0000 0.5000 0.0000

Calculated values
VASP energy, hartree per atom: -0.126
SG: P4/mmm